# 1
A geometry-optimized IrPbO3 structure. Source: OQMD, functional PBE.

The density comes out at 9.57 g cm⁻³. The total energy comes out at -180.3 eV for the cell shown. The crystal system is trigonal.

The structure belongs to space group R-3c (No. 167, hexagonal axes); the cell edges are 6.2979, 6.2979 and 13.5619 Å and the angles 90.00°, 90.00° and 120.00°. The asymmetric unit holds Ir at (0.0000, 0.0000, 0.2500), Pb at (0.0000, 0.0000, 0.0000) and O at (0.0000, 0.2893, 0.2500).

# 2
A geometry-optimized IrPb2O5 structure. Source: OQMD, functional PBE.

The density comes out at 10.57 g cm⁻³. The total energy comes out at -193.2 eV for the cell shown. The crystal system is monoclinic.

The structure belongs to space group C2/c (No. 15); the cell edges are 12.416, 5.648 and 7.320 Å and the angles 90.00°, 122.78° and 90.00°. The asymmetric unit holds Ir at (0.000, 0.000, 0.000), Pb at (0.161, 0.498, 0.495), O at (0.000, 0.151, 0.750), O at (0.054, 0.308, 0.135) and O at (0.177, 0.107, 0.625).

# 3
A geometry-optimized IrPbO3 structure. Source: OQMD, functional PBE.

The density comes out at 9.91 g cm⁻³. The total energy comes out at -27.5 eV for the cell shown. The crystal system is tetragonal.

The structure belongs to space group P4mm (No. 99); the cell edges are 3.869, 3.869 and 5.008 Å and the angles 90.00°, 90.00° and 90.00°. The asymmetric unit holds Ir at (0.000, 0.000, 0.000), Pb at (0.500, 0.500, 0.619), O at (0.000, 0.500, 0.863) and O at (0.500, 0.500, 0.218).

# 4
A geometry-optimized IrPb3O6 structure. Source: OQMD, functional PBE.

The density comes out at 10.51 g cm⁻³. The total energy comes out at -228.1 eV for the cell shown. The crystal system is cubic.

The structure belongs to space group Fm-3m (No. 225); the cell edges are 8.315, 8.315 and 8.315 Å and the angles 90.00°, 90.00° and 90.00°. The asymmetric unit holds Ir at (0.000, 0.000, 0.000), Pb at (0.000, 0.000, 0.500), Pb at (0.250, 0.250, 0.250) and O at (0.000, 0.000, 0.236).

# 5
A geometry-optimized IrPbO3 structure. Source: OQMD, functional PBE.

The density comes out at 11.54 g cm⁻³. The total energy comes out at -30.8 eV for the cell shown. The crystal system is tetragonal.

The structure belongs to space group P4mm (No. 99); the cell edges are 4.003, 4.003 and 4.018 Å and the angles 90.00°, 90.00° and 90.00°. The asymmetric unit holds Ir at (0.000, 0.000, 0.000), Pb at (0.500, 0.500, 0.451), O at (0.000, 0.000, 0.511) and O at (0.000, 0.500, 0.073).

# 6
A geometry-optimized IrPbO3 structure. Source: OQMD, functional PBE.

The density comes out at 10.39 g cm⁻³. The total energy comes out at -118.2 eV for the cell shown. The crystal system is orthorhombic.

The structure belongs to space group Pnma (No. 62); the cell edges are 5.926, 8.281 and 5.828 Å and the angles 90.00°, 90.00° and 90.00°. The asymmetric unit holds Ir at (0.022, 0.250, 0.023), Pb at (0.000, 0.000, 0.500), O at (0.145, 0.593, 0.142) and O at (0.191, 0.750, 0.680).

Repeat the first record exactly.
A geometry-optimized IrPbO3 structure. Source: OQMD, functional PBE.

The density comes out at 9.57 g cm⁻³. The total energy comes out at -180.3 eV for the cell shown. The crystal system is trigonal.

The structure belongs to space group R-3c (No. 167, hexagonal axes); the cell edges are 6.2979, 6.2979 and 13.5619 Å and the angles 90.00°, 90.00° and 120.00°. The asymmetric unit holds Ir at (0.0000, 0.0000, 0.2500), Pb at (0.0000, 0.0000, 0.0000) and O at (0.0000, 0.2893, 0.2500).

Q: density of number 3 (IrPbO3)?
A: 9.91 g cm⁻³